A relaxed structure of Tb7Al2Au2, computed with PBE.

Unit cell a=6.808 b=7.230 c=6.808 alpha=90.00 beta=108.18 gamma=90.00
Sites, in units of the cell vectors:
Tb 0.000 0.272 0.500
Tb 0.500 0.728 0.000
Tb 0.000 0.728 0.500
Tb 0.500 0.272 0.000
Tb 0.000 0.000 0.000
Tb 0.500 0.738 0.500
Tb 0.500 0.262 0.500
Al 0.834 0.500 0.834
Al 0.166 0.500 0.166
Au 0.708 0.000 0.292
Au 0.292 0.000 0.708

Computed properties:
The value obtained for the uncorrected energy is -4.465 eV per atom.